(1)
A plane-wave DFT calculation with GGA-PBE was carried out for crystalline SnBi3Au3 at its relaxed geometry.

Cell and atoms, written as CIF:
```
data_SnBi3Au3
_space_group_name_H-M_alt 'R -3'
_space_group_IT_number 148
_space_group_name_Hall '-R 3'
_cell_length_a 8.6704
_cell_length_b 8.6704
_cell_length_c 17.3408
_cell_angle_alpha 90.00
_cell_angle_beta 90.00
_cell_angle_gamma 120.00
loop_
_atom_site_label
_atom_site_fract_x
_atom_site_fract_y
_atom_site_fract_z
Sn1 0.0000 0.0000 0.1722
Bi1 0.0202 0.7624 0.5955
Au1 0.0023 0.4090 0.5743
```

Calculated values
For the uncorrected energy, the calculation gives -3.6555 eV/atom. Its formation energy is -11 kJ/mol of formula units. The density of states at the Fermi level is 0.45 states/eV per atom.

(2)
A plane-wave DFT calculation with GGA-PBE was carried out for crystalline RbGeNF2 at its relaxed geometry.

Cell and atoms, written as CIF:
```
data_RbGeNF2
_space_group_name_H-M_alt 'P 4/m m m'
_space_group_IT_number 123
_space_group_name_Hall '-P 4 2'
_cell_length_a 4.839
_cell_length_b 4.839
_cell_length_c 4.601
_cell_angle_alpha 90.00
_cell_angle_beta 90.00
_cell_angle_gamma 90.00
loop_
_atom_site_label
_atom_site_fract_x
_atom_site_fract_y
_atom_site_fract_z
Rb1 0.000 0.000 0.000
Ge1 0.500 0.500 0.500
N1 0.000 0.000 0.500
F1 0.000 0.500 0.000
```

Calculated values
For the uncorrected energy, the calculation gives -3.1537 eV/atom. The uncorrected formation energy is 0.377 eV per atom. The value obtained for the energy above the most stable polymorph in this dataset is 1.6550 eV per atom. The density of states at the Fermi level is 0.45 states/eV per atom.

(3)
A plane-wave DFT calculation with GGA-PBE was carried out for crystalline TiSeSBr2 at its relaxed geometry.

Cell and atoms, written as CIF:
```
data_TiSeSBr2
_space_group_name_H-M_alt 'P 4/m m m'
_space_group_IT_number 123
_space_group_name_Hall '-P 4 2'
_cell_length_a 5.079
_cell_length_b 5.079
_cell_length_c 4.933
_cell_angle_alpha 90.00
_cell_angle_beta 90.00
_cell_angle_gamma 90.00
loop_
_atom_site_label
_atom_site_fract_x
_atom_site_fract_y
_atom_site_fract_z
Ti1 0.000 0.000 0.000
Se1 0.500 0.500 0.000
S1 0.500 0.500 0.500
Br1 0.000 0.500 0.500
```

Calculated values
For the uncorrected energy, the calculation gives -3.1749 eV/atom. The uncorrected formation energy is 0.596 eV per atom. The value obtained for the energy above the most stable polymorph in this dataset is 0.6903 eV per atom. The density of states at the Fermi level is 2.28 states/eV per atom.

(4)
A plane-wave DFT calculation with GGA-PBE was carried out for crystalline Pu2Pb at its relaxed geometry.

Cell and atoms, written as CIF:
```
data_Pu2Pb
_space_group_name_H-M_alt 'P 63/m m c'
_space_group_IT_number 194
_space_group_name_Hall '-P 6c 2c'
_cell_length_a 5.4582
_cell_length_b 5.4582
_cell_length_c 6.4496
_cell_angle_alpha 90.00
_cell_angle_beta 90.00
_cell_angle_gamma 120.00
loop_
_atom_site_label
_atom_site_fract_x
_atom_site_fract_y
_atom_site_fract_z
Pu1 0.0000 0.0000 0.0000
Pu2 0.3333 0.6667 0.2500
Pb1 0.3333 0.6667 0.7500
```

Calculated values
For the uncorrected energy, the calculation gives -10.7451 eV/atom. Its formation energy is 13 kJ/mol of formula units. The density of states at the Fermi level is 7.32 states/eV per atom.

(5)
A plane-wave DFT calculation with GGA-PBE was carried out for crystalline Ba3GeP3 at its relaxed geometry.

Cell and atoms, written as CIF:
```
data_Ba3GeP3
_space_group_name_H-M_alt 'C m c e'
_space_group_IT_number 64
_space_group_name_Hall '-C 2ac 2'
_cell_length_a 19.661
_cell_length_b 6.791
_cell_length_c 13.116
_cell_angle_alpha 90.00
_cell_angle_beta 90.00
_cell_angle_gamma 90.00
loop_
_atom_site_label
_atom_site_fract_x
_atom_site_fract_y
_atom_site_fract_z
Ba1 0.000 0.167 0.150
Ba2 0.176 0.178 0.869
Ge1 0.085 0.000 0.500
P1 0.000 0.199 0.401
P2 0.157 0.188 0.617
```

Calculated values
For the uncorrected energy, the calculation gives -4.6100 eV/atom. Its formation energy is -546 kJ/mol of formula units. The density of states at the Fermi level is 0.48 states/eV per atom.

(6)
A plane-wave DFT calculation with GGA-PBE was carried out for crystalline NaTiCrB2 at its relaxed geometry.

Cell and atoms, written as CIF:
```
data_NaTiCrB2
_space_group_name_H-M_alt 'P 4/m m m'
_space_group_IT_number 123
_space_group_name_Hall '-P 4 2'
_cell_length_a 4.177
_cell_length_b 4.177
_cell_length_c 4.233
_cell_angle_alpha 90.00
_cell_angle_beta 90.00
_cell_angle_gamma 90.00
loop_
_atom_site_label
_atom_site_fract_x
_atom_site_fract_y
_atom_site_fract_z
Na1 0.000 0.000 0.000
Ti1 0.500 0.500 0.500
Cr1 0.000 0.000 0.500
B1 0.000 0.500 0.000
```

Calculated values
For the uncorrected energy, the calculation gives -4.2448 eV/atom. Its formation energy is 1058 kJ/mol of formula units. The density of states at the Fermi level is 0.69 states/eV per atom.